i:
The following is a DFT calculation (PBE-GGA) of a relaxed SrInRe2N crystal.

Structure (CIF):
```
data_SrInRe2N
_chemical_formula_sum 'Sr1 In1 Re2 N1'
_cell_length_a 4.1163
_cell_length_b 4.1163
_cell_length_c 5.4967
_cell_angle_alpha 90.00
_cell_angle_beta 90.00
_cell_angle_gamma 90.00
_symmetry_space_group_name_H-M 'P 4/m m m'
_symmetry_Int_Tables_number 123
_symmetry_space_group_name_Hall '-P 4 2'
loop_
_atom_site_label
_atom_site_fract_x
_atom_site_fract_y
_atom_site_fract_z
Sr1 0.0000 0.0000 0.0000
In1 0.5000 0.5000 0.0000
Re1 0.0000 0.5000 0.5000
N1 0.5000 0.5000 0.5000
```

Output
Magnetization in μB per formula unit: 0.000

=====

ii:
The following is a DFT calculation (PBE-GGA) of a relaxed SrInRe2N crystal.

Structure (CIF):
```
data_SrInRe2N
_chemical_formula_sum 'Sr1 In1 Re2 N1'
_cell_length_a 5.0824
_cell_length_b 5.0824
_cell_length_c 4.1876
_cell_angle_alpha 90.00
_cell_angle_beta 90.00
_cell_angle_gamma 90.00
_symmetry_space_group_name_H-M 'P 4/m m m'
_symmetry_Int_Tables_number 123
_symmetry_space_group_name_Hall '-P 4 2'
loop_
_atom_site_label
_atom_site_fract_x
_atom_site_fract_y
_atom_site_fract_z
Sr1 0.0000 0.0000 0.0000
In1 0.5000 0.5000 0.5000
Re1 0.0000 0.5000 0.0000
N1 0.0000 0.0000 0.5000
```

Output
Magnetization in μB per formula unit: 0.000

=====

Most stable pick: i. Distance to second place: 2596 meV per atom.

=====

i:
The following is a DFT calculation (PBE-GGA) of a relaxed InRh2N crystal.

Structure (CIF):
```
data_InRh2N
_chemical_formula_sum 'In4 Rh8 N4'
_cell_length_a 6.1460
_cell_length_b 6.1460
_cell_length_c 6.1460
_cell_angle_alpha 90.00
_cell_angle_beta 90.00
_cell_angle_gamma 90.00
_symmetry_space_group_name_H-M 'F m -3 m'
_symmetry_Int_Tables_number 225
_symmetry_space_group_name_Hall '-F 4 2 3'
loop_
_atom_site_label
_atom_site_fract_x
_atom_site_fract_y
_atom_site_fract_z
In1 0.0000 0.0000 0.0000
Rh1 0.2500 0.2500 0.2500
N1 0.0000 0.0000 0.5000
```

Output
Magnetization in μB per formula unit: 1.406

=====

ii:
The following is a DFT calculation (PBE-GGA) of a relaxed InRh2N crystal.

Structure (CIF):
```
data_InRh2N
_chemical_formula_sum 'In4 Rh8 N4'
_cell_length_a 5.4929
_cell_length_b 5.4929
_cell_length_c 9.3574
_cell_angle_alpha 90.00
_cell_angle_beta 90.00
_cell_angle_gamma 90.00
_symmetry_space_group_name_H-M 'I -4 2 d'
_symmetry_Int_Tables_number 122
_symmetry_space_group_name_Hall 'I -4 2bw'
loop_
_atom_site_label
_atom_site_fract_x
_atom_site_fract_y
_atom_site_fract_z
In1 0.0000 0.0000 0.0000
Rh1 0.1259 0.2500 0.6250
N1 0.0000 0.0000 0.5000
```

Output
Magnetization in μB per formula unit: 0.000

=====

Most stable pick: ii. Distance to second place: 811 meV per atom.

=====

i:
The following is a DFT calculation (PBE-GGA) of a relaxed InRuS2N crystal.

Structure (CIF):
```
data_InRuS2N
_chemical_formula_sum 'In1 Ru1 S2 N1'
_cell_length_a 4.9307
_cell_length_b 4.9307
_cell_length_c 3.7085
_cell_angle_alpha 90.00
_cell_angle_beta 90.00
_cell_angle_gamma 90.00
_symmetry_space_group_name_H-M 'P 4/m m m'
_symmetry_Int_Tables_number 123
_symmetry_space_group_name_Hall '-P 4 2'
loop_
_atom_site_label
_atom_site_fract_x
_atom_site_fract_y
_atom_site_fract_z
In1 0.0000 0.0000 0.0000
Ru1 0.5000 0.5000 0.5000
S1 0.0000 0.5000 0.5000
N1 0.5000 0.5000 0.0000
```

Output
Magnetization in μB per formula unit: 0.001

=====

ii:
The following is a DFT calculation (PBE-GGA) of a relaxed InRuS2N crystal.

Structure (CIF):
```
data_InRuS2N
_chemical_formula_sum 'In1 Ru1 S2 N1'
_cell_length_a 5.1091
_cell_length_b 5.1091
_cell_length_c 4.0700
_cell_angle_alpha 90.00
_cell_angle_beta 90.00
_cell_angle_gamma 90.00
_symmetry_space_group_name_H-M 'P 4/m m m'
_symmetry_Int_Tables_number 123
_symmetry_space_group_name_Hall '-P 4 2'
loop_
_atom_site_label
_atom_site_fract_x
_atom_site_fract_y
_atom_site_fract_z
In1 0.0000 0.0000 0.0000
Ru1 0.5000 0.5000 0.5000
S1 0.0000 0.5000 0.0000
N1 0.0000 0.0000 0.5000
```

Output
Magnetization in μB per formula unit: 3.688

=====

Most stable pick: i. Distance to second place: 1362 meV per atom.